Entry 1:
This record from OQMD via LeMat-Bulk describes an optimized crystal structure of Tl2CuGe. The functional is PBE.

a b c (Å): 5.0783 5.0783 5.0783
angles (deg): 60.00 60.00 60.00
Last column: nearest neighbours and their distance in Å.
Atoms (fractional coordinates):
Cu: 0.2500 0.2500 0.2500  4 Ge 3.11, 4 Tl 3.11
Tl: 0.7500 0.7500 0.7500  4 Ge 3.11, 4 Tl 3.11
Tl: 0.0000 0.0000 0.0000  4 Cu 3.11, 4 Tl 3.11
Ge: 0.5000 0.5000 0.5000  4 Cu 3.11, 4 Tl 3.11

Output
DFT total energy	-11.426	eV per formula unit
symmetry	F-43m (216)

=====

Entry 2:
This record from OQMD via LeMat-Bulk describes an optimized crystal structure of Cu2GeW. The functional is PBE.

a b c (Å): 4.2793 4.2793 4.2793
angles (deg): 60.00 60.00 60.00
Last column: nearest neighbours and their distance in Å.
Atoms (fractional coordinates):
Ge: 0.5000 0.5000 0.5000  4 W 2.62, 4 Cu 2.62
W: 0.2500 0.2500 0.2500  4 Ge 2.62, 4 Cu 2.62
Cu: 0.0000 0.0000 0.0000  4 Cu 2.62, 4 W 2.62
Cu: 0.7500 0.7500 0.7500  4 Ge 2.62, 4 Cu 2.62

Output
DFT total energy	-23.299	eV per formula unit
size of the total moment	0.627	Bohr magnetons per cell
symmetry	F-43m (216)

=====

Entry 3:
This record from OQMD via LeMat-Bulk describes an optimized crystal structure of CuGe5W3. The functional is PBE.

a b c (Å): 5.4216 5.4216 6.6979
angles (deg): 90.00 90.00 120.00
Last column: nearest neighbours and their distance in Å.
Atoms (fractional coordinates):
Ge: 0.3333 0.6667 0.1825  1 Ge 2.44, 3 W 2.64
Ge: 0.6667 0.3333 0.1825  1 Ge 2.44, 3 W 2.64
Ge: 0.0000 0.0000 0.5000  6 W 2.71
Ge: 0.3333 0.6667 0.8175  1 Ge 2.44, 3 W 2.64
Ge: 0.6667 0.3333 0.8175  1 Ge 2.44, 3 W 2.64
W: 0.5000 0.0000 0.5000  6 Ge 2.64-2.71, 4 W 2.71
W: 0.5000 0.5000 0.5000  6 Ge 2.64-2.71, 4 W 2.71
W: 0.0000 0.5000 0.5000  6 Ge 2.64-2.71, 4 W 2.71
Cu: 0.0000 0.0000 0.0000  14 Ge 3.35-3.36

Output
DFT total energy	-61.645	eV per formula unit
size of the total moment	0.003	Bohr magnetons per cell
symmetry	P6/mmm (191)

=====

Entry 4:
This record from OQMD via LeMat-Bulk describes an optimized crystal structure of YCuGeW. The functional is PBE.

a b c (Å): 4.7222 4.7222 4.7222
angles (deg): 60.00 60.00 60.00
Last column: nearest neighbours and their distance in Å.
Atoms (fractional coordinates):
Cu: 0.7500 0.7500 0.7500  4 Ge 2.89, 4 W 2.89
Ge: 0.0000 0.0000 0.0000  4 Y 2.89, 4 Cu 2.89
Y: 0.2500 0.2500 0.2500  4 W 2.89, 4 Ge 2.89
W: 0.5000 0.5000 0.5000  4 Y 2.89, 4 Cu 2.89

Output
energy above the most stable polymorph in this dataset	240	meV/atom
size of the total moment	1.510	Bohr magnetons per cell
symmetry	F-43m (216)

=====

Entry 5:
This record from OQMD via LeMat-Bulk describes an optimized crystal structure of YCuGeW. The functional is PBE.

a b c (Å): 4.6325 4.6325 4.6325
angles (deg): 60.00 60.00 60.00
Last column: nearest neighbours and their distance in Å.
Atoms (fractional coordinates):
W: 0.2500 0.2500 0.2500  4 Y 2.84, 4 Ge 2.84
Ge: 0.0000 0.0000 0.0000  4 Cu 2.84, 4 W 2.84
Cu: 0.7500 0.7500 0.7500  4 Y 2.84, 4 Ge 2.84
Y: 0.5000 0.5000 0.5000  4 Cu 2.84, 4 W 2.84

Output
energy above the most stable polymorph in this dataset	0	meV/atom
size of the total moment	0.013	Bohr magnetons per cell
symmetry	F-43m (216)

=====

Entry 6:
This record from OQMD via LeMat-Bulk describes an optimized crystal structure of ZnCuGeW. The functional is PBE.

a b c (Å): 4.3520 4.3520 4.3520
angles (deg): 60.00 60.00 60.00
Last column: nearest neighbours and their distance in Å.
Atoms (fractional coordinates):
W: 0.2500 0.2500 0.2500  4 Ge 2.67, 4 Zn 2.67
Zn: 0.5000 0.5000 0.5000  4 W 2.67, 4 Cu 2.67
Ge: 0.0000 0.0000 0.0000  4 W 2.67, 4 Cu 2.67
Cu: 0.7500 0.7500 0.7500  4 Ge 2.67, 4 Zn 2.67

Output
energy above the most stable polymorph in this dataset	0	meV/atom
size of the total moment	0.034	Bohr magnetons per cell
symmetry	F-43m (216)

=====

Entry 7:
This record from OQMD via LeMat-Bulk describes an optimized crystal structure of ZnCuGeW. The functional is PBE.

a b c (Å): 4.4110 4.4110 4.4110
angles (deg): 60.00 60.00 60.00
Last column: nearest neighbours and their distance in Å.
Atoms (fractional coordinates):
Zn: 0.2500 0.2500 0.2500  4 Ge 2.70, 4 W 2.70
Ge: 0.0000 0.0000 0.0000  4 Zn 2.70, 4 Cu 2.70
Cu: 0.7500 0.7500 0.7500  4 W 2.70, 4 Ge 2.70
W: 0.5000 0.5000 0.5000  4 Cu 2.70, 4 Zn 2.70

Output
energy above the most stable polymorph in this dataset	308	meV/atom
size of the total moment	1.410	Bohr magnetons per cell
symmetry	F-43m (216)

=====

Entry 8:
This record from OQMD via LeMat-Bulk describes an optimized crystal structure of YZrCuGe. The functional is PBE.

a b c (Å): 4.8251 4.8251 4.8251
angles (deg): 60.00 60.00 60.00
Last column: nearest neighbours and their distance in Å.
Atoms (fractional coordinates):
Zr: 0.2500 0.2500 0.2500  4 Y 2.95, 4 Ge 2.95
Y: 0.5000 0.5000 0.5000  4 Cu 2.95, 4 Zr 2.95
Cu: 0.7500 0.7500 0.7500  4 Ge 2.95, 4 Y 2.95
Ge: 0.0000 0.0000 0.0000  4 Cu 2.95, 4 Zr 2.95

Output
energy above the most stable polymorph in this dataset	0	meV/atom
size of the total moment	1.752	Bohr magnetons per cell
symmetry	F-43m (216)

=====

Entry 9:
This record from OQMD via LeMat-Bulk describes an optimized crystal structure of ZnCu5Ge2. The functional is PBE.

a b c (Å): 4.2320 4.2320 5.9576
angles (deg): 90.00 90.00 90.00
Last column: nearest neighbours and their distance in Å.
Atoms (fractional coordinates):
Zn: 0.0000 0.0000 0.5000  8 Cu 2.61
Ge: 0.5000 0.5000 0.5000  8 Cu 2.61
Ge: 0.0000 0.0000 0.0000  8 Cu 2.57
Cu: 0.5000 0.5000 0.0000  8 Cu 2.57
Cu: 0.5000 0.0000 0.7551  4 Ge 2.57-2.61, 2 Cu 2.57, 2 Zn 2.61
Cu: 0.5000 0.0000 0.2449  4 Ge 2.57-2.61, 2 Cu 2.57, 2 Zn 2.61
Cu: 0.0000 0.5000 0.7551  4 Ge 2.57-2.61, 2 Cu 2.57, 2 Zn 2.61
Cu: 0.0000 0.5000 0.2449  4 Ge 2.57-2.61, 2 Cu 2.57, 2 Zn 2.61

Output
DFT total energy	-28.615	eV per formula unit
symmetry	P4/mmm (123)

=====

Entry 10:
This record from OQMD via LeMat-Bulk describes an optimized crystal structure of ZnCu5Ge2. The functional is PBE.

a b c (Å): 4.2320 4.2320 5.9576
angles (deg): 90.00 90.00 90.00
Last column: nearest neighbours and their distance in Å.
Atoms (fractional coordinates):
Zn: 0.5000 0.5000 0.0000  8 Cu 2.61
Cu: 0.5000 0.0000 0.7449  4 Ge 2.57-2.61, 2 Cu 2.57, 2 Zn 2.61
Cu: 0.0000 0.5000 0.2551  4 Ge 2.57-2.61, 2 Cu 2.57, 2 Zn 2.61
Cu: 0.0000 0.5000 0.7449  4 Ge 2.57-2.61, 2 Cu 2.57, 2 Zn 2.61
Cu: 0.5000 0.0000 0.2551  4 Ge 2.57-2.61, 2 Cu 2.57, 2 Zn 2.61
Cu: 0.0000 0.0000 0.5000  8 Cu 2.57
Ge: 0.5000 0.5000 0.5000  8 Cu 2.57
Ge: 0.0000 0.0000 0.0000  8 Cu 2.61

Output
DFT total energy	-28.615	eV per formula unit
symmetry	P4/mmm (123)

=====

Entry 11:
This record from OQMD via LeMat-Bulk describes an optimized crystal structure of ZnCuGe2. The functional is PBE.

a b c (Å): 4.5436 4.5436 4.5436
angles (deg): 60.00 60.00 60.00
Last column: nearest neighbours and their distance in Å.
Atoms (fractional coordinates):
Zn: 0.5000 0.5000 0.5000  4 Ge 2.78, 4 Cu 2.78
Cu: 0.7500 0.7500 0.7500  4 Zn 2.78, 4 Ge 2.78
Ge: 0.0000 0.0000 0.0000  4 Ge 2.78, 4 Cu 2.78
Ge: 0.2500 0.2500 0.2500  4 Zn 2.78, 4 Ge 2.78

Output
DFT total energy	-13.101	eV per formula unit
symmetry	F-43m (216)

=====

Entry 12:
This record from OQMD via LeMat-Bulk describes an optimized crystal structure of ZrZnCuGe. The functional is PBE.

a b c (Å): 4.5187 4.5187 4.5187
angles (deg): 60.00 60.00 60.00
Last column: nearest neighbours and their distance in Å.
Atoms (fractional coordinates):
Zr: 0.2500 0.2500 0.2500  4 Ge 2.77, 4 Zn 2.77
Cu: 0.7500 0.7500 0.7500  4 Ge 2.77, 4 Zn 2.77
Ge: 0.0000 0.0000 0.0000  4 Cu 2.77, 4 Zr 2.77
Zn: 0.5000 0.5000 0.5000  4 Cu 2.77, 4 Zr 2.77

Output
energy above the most stable polymorph in this dataset	0	meV/atom
size of the total moment	0.003	Bohr magnetons per cell
symmetry	F-43m (216)

=====

Entry 13:
This record from OQMD via LeMat-Bulk describes an optimized crystal structure of ZrZnCuGe. The functional is PBE.

a b c (Å): 4.5380 4.5380 4.5380
angles (deg): 60.00 60.00 60.00
Last column: nearest neighbours and their distance in Å.
Atoms (fractional coordinates):
Zr: 0.5000 0.5000 0.5000  4 Cu 2.78, 4 Zn 2.78
Ge: 0.0000 0.0000 0.0000  4 Cu 2.78, 4 Zn 2.78
Zn: 0.2500 0.2500 0.2500  4 Zr 2.78, 4 Ge 2.78
Cu: 0.7500 0.7500 0.7500  4 Ge 2.78, 4 Zr 2.78

Output
energy above the most stable polymorph in this dataset	98	meV/atom
size of the total moment	0.004	Bohr magnetons per cell
symmetry	F-43m (216)